No. 1
The following is a PBE-GGA calculation of a relaxed structure of NaTlGe2I6, from Alexandria.

The uncorrected formation energy is -520 meV/atom.

The structure belongs to space group C2/c (No. 15); the cell edges are 17.1884, 12.3330 and 8.4866 Å and the angles 90.00°, 114.68° and 90.00°. The asymmetric unit holds Na at (0.0000, 0.1887, 0.2500), Tl at (0.0000, 0.4284, 0.7500), Ge at (0.2358, 0.0851, 0.1119), I at (0.1199, 0.0142, 0.7334), I at (0.1267, 0.3705, 0.5278) and I at (0.1566, 0.2819, 0.0814).

=====

No. 2
The following is a PBE-GGA calculation of a relaxed structure of Y4Te3Pb, from Alexandria.

The energy above the most stable polymorph in this dataset is 14.1 meV per atom. The uncorrected formation energy is -1166 meV/atom.

The structure belongs to space group Cmmm (No. 65); the cell edges are 8.7802, 12.4360 and 4.4037 Å and the angles 90.00°, 90.00° and 90.00°. The asymmetric unit holds Y at (0.0000, 0.2459, 0.0000), Y at (0.2432, 0.0000, 0.5000), Te at (0.0000, 0.5000, 0.0000), Te at (0.2500, 0.2500, 0.5000) and Pb at (0.0000, 0.0000, 0.0000).

=====

No. 3
The following is a PBE-GGA calculation of a relaxed structure of Zr2TcHPt, from Alexandria.

The energy above the most stable polymorph in this dataset is 53.8 meV per atom.

The structure belongs to space group P4/mmm (No. 123); the cell edges are 4.5792, 4.5792 and 3.6218 Å and the angles 90.00°, 90.00° and 90.00°. The asymmetric unit holds Zr at (0.0000, 0.5000, 0.0000), Tc at (0.0000, 0.0000, 0.5000), H at (0.5000, 0.5000, 0.0000) and Pt at (0.5000, 0.5000, 0.5000).

=====

No. 4
The following is a PBE-GGA calculation of a relaxed structure of AcPm5Y6, from Alexandria.

The formation energy is 0.3 eV per formula unit.

The structure belongs to space group C2/m (No. 12); the cell edges are 11.9734, 10.9377 and 6.3115 Å and the angles 90.00°, 100.21° and 90.00°. The asymmetric unit holds Ac at (0.0000, 0.0000, 0.0000), Pm at (0.0000, 0.1704, 0.5000), Pm at (0.0000, 0.3359, 0.0000), Pm at (0.0000, 0.5000, 0.5000), Y at (0.2481, 0.3323, 0.7496) and Y at (0.2486, 0.5000, 0.2534).

=====

No. 5
The following is a PBE-GGA calculation of a relaxed structure of BaSc2F2, from Alexandria.

The uncorrected formation energy is -1180 meV/atom.

The structure belongs to space group P4/mbm (No. 127); the cell edges are 8.6645, 8.6645 and 3.2572 Å and the angles 90.00°, 90.00° and 90.00°. The asymmetric unit holds Ba at (0.0000, 0.0000, 0.0000), Sc at (0.1108, 0.3892, 0.5000) and F at (0.0949, 0.5949, 0.0000).

=====

No. 6
The following is a PBE-GGA calculation of a relaxed structure of Pr6Te3As2Pt, from Alexandria.

The uncorrected formation energy is -1434 meV/atom.

The structure belongs to space group C2/m (No. 12); the cell edges are 19.4265, 4.3483 and 8.9615 Å and the angles 90.00°, 104.33° and 90.00°. The asymmetric unit holds Pr at (0.0055, 0.0000, 0.2285), Pr at (0.1620, 0.5000, 0.0990), Pr at (0.1725, 0.5000, 0.5683), Te at (0.0000, 0.5000, 0.5000), Te at (0.1679, 0.0000, 0.8324), As at (0.1669, 0.0000, 0.3348) and Pt at (0.0000, 0.5000, 0.0000).

=====

No. 7
The following is a PBE-GGA calculation of a relaxed structure of Pr5Y4Ho4, from Alexandria.

The formation energy is 0.3 eV per formula unit.

The structure belongs to space group I4/m (No. 87); the cell edges are 13.0402, 13.0402 and 5.1019 Å and the angles 90.00°, 90.00° and 90.00°. The asymmetric unit holds Pr at (0.0000, 0.0000, 0.0000), Pr at (0.0397, 0.8059, 0.5000), Y at (0.0765, 0.6147, 0.0000) and Ho at (0.1549, 0.2329, 0.0000).

=====

No. 8
The following is a PBE-GGA calculation of a relaxed structure of YAg2As2, from Alexandria.

The energy above the most stable polymorph in this dataset is 0.0 meV per atom. The formation energy is -2.1 eV per formula unit.

The structure belongs to space group I4/mmm (No. 139); the cell edges are 4.0024, 4.0024 and 13.0203 Å and the angles 90.00°, 90.00° and 90.00°. The asymmetric unit holds Y at (0.0000, 0.0000, 0.0000), Ag at (0.0000, 0.5000, 0.2500) and As at (0.0000, 0.0000, 0.3978).

=====

Number 1: DFT total energy -2.742 eV per atom. Number 2: DFT total energy -6.040 eV per atom. Number 3: DFT total energy -7.887 eV per atom. Number 4: DFT total energy -5.532 eV per atom. Number 5: DFT total energy -4.846 eV per atom. Number 6: DFT total energy -5.888 eV per atom. Number 7: DFT total energy -5.215 eV per atom. Number 8: DFT total energy -4.720 eV per atom.